1.
This record from Alexandria describes a relaxed structure of In2GeH. The functional is PBE.

Structure (POSCAR):
```
In2GeH
1.0
-3.033 -3.435 -2.164
3.989 -3.023 -0.792
-0.537 -6.162 4.600
In Ge H
4 2 2
Direct
0.207 0.625 0.250
0.543 0.125 0.250
0.375 0.457 0.750
0.875 0.793 0.750
0.750 0.250 0.500
0.000 0.000 0.000
0.500 0.500 0.000
0.250 0.750 0.500
```

## Properties
VASP energy ... -12.17 eV/f.u.
Energy relative to the lowest polymorph listed for this composition ... 0.000 eV/atom
Mass density ... 5.7 g/cm3
N(E_F) ... 0.3775 states/eV/atom


2.
This record from Alexandria describes a relaxed structure of InGeH. The functional is PBE.

Structure (POSCAR):
```
InGeH
1.0
4.627 0.000 -0.006
0.000 4.201 0.000
-3.500 0.000 12.857
H Ge In
4 4 4
Direct
0.980 0.000 0.026
0.020 0.500 0.474
0.020 0.000 0.974
0.980 0.500 0.526
0.826 0.500 0.751
0.174 0.500 0.249
0.826 0.000 0.251
0.174 0.000 0.749
0.530 0.000 0.611
0.470 0.500 0.889
0.530 0.500 0.111
0.470 0.000 0.389
```

## Properties
VASP energy ... -10.25 eV/f.u.
Energy relative to the lowest polymorph listed for this composition ... 0.000 eV/atom
Mass density ... 5.0 g/cm3
N(E_F) ... 0.1458 states/eV/atom


3.
This record from Alexandria describes a relaxed structure of InGe3H. The functional is PBE.

Structure (POSCAR):
```
InGe3H
1.0
4.457 0.000 0.000
0.000 4.457 0.000
0.000 0.000 4.457
Ge H In
3 1 1
Direct
0.000 0.000 0.500
0.000 0.500 0.000
0.500 0.000 0.000
0.000 0.000 0.000
0.500 0.500 0.500
```

## Properties
VASP energy ... -17.86 eV/f.u.
Energy relative to the lowest polymorph listed for this composition ... 0.000 eV/atom
Mass density ... 6.3 g/cm3
N(E_F) ... 0.3816 states/eV/atom


4.
This record from Alexandria describes a relaxed structure of InGeH3. The functional is PBE.

Structure (POSCAR):
```
InGeH3
1.0
-2.618 -2.675 1.377
-0.900 -1.046 -3.742
2.871 -2.767 0.083
H In Ge
3 1 1
Direct
0.000 0.000 0.500
0.500 0.000 0.000
0.000 0.500 0.000
0.000 0.000 0.000
0.500 0.500 0.500
```

## Properties
VASP energy ... -13.71 eV/f.u.
Energy relative to the lowest polymorph listed for this composition ... 0.276 eV/atom
Mass density ... 5.0 g/cm3
N(E_F) ... 0.4738 states/eV/atom


5.
This record from Alexandria describes a relaxed structure of LiIn2GeH. The functional is PBE.

Structure (POSCAR):
```
LiIn2GeH
1.0
4.951 0.000 0.000
0.000 4.951 0.000
0.000 0.000 3.780
In H Ge Li
2 1 1 1
Direct
0.000 0.500 0.000
0.500 0.000 0.000
0.000 0.000 0.000
0.500 0.500 0.500
0.000 0.000 0.500
```

## Properties
VASP energy ... -15.06 eV/f.u.
Mass density ... 5.6 g/cm3
N(E_F) ... 0.3676 states/eV/atom


6.
This record from Alexandria describes a relaxed structure of Li2InGeH. The functional is PBE.

Structure (POSCAR):
```
Li2InGeH
1.0
4.198 0.000 0.000
0.000 4.198 0.000
0.000 0.000 4.222
Ge Li In H
1 2 1 1
Direct
0.000 0.000 0.500
0.500 0.000 0.000
0.000 0.500 0.000
0.500 0.500 0.500
0.000 0.000 0.000
```

## Properties
VASP energy ... -15.17 eV/f.u.
Energy relative to the lowest polymorph listed for this composition ... 0.039 eV/atom
Mass density ... 4.5 g/cm3
N(E_F) ... 0.1912 states/eV/atom


7.
This record from Alexandria describes a relaxed structure of Li2InGeH. The functional is PBE.

Structure (POSCAR):
```
Li2InGeH
1.0
4.049 0.000 0.000
0.000 4.625 0.000
0.000 0.000 4.049
H Ge Li In
1 1 2 1
Direct
0.000 0.000 0.000
0.500 0.500 0.500
0.000 0.000 0.500
0.500 0.000 0.000
0.000 0.500 0.000
```

## Properties
VASP energy ... -15.36 eV/f.u.
Energy relative to the lowest polymorph listed for this composition ... 0.000 eV/atom
Mass density ... 4.4 g/cm3
N(E_F) ... 0.1865 states/eV/atom


8.
This record from Alexandria describes a relaxed structure of In2GeHPd. The functional is PBE.

Structure (POSCAR):
```
In2GeHPd
1.0
-3.494 0.180 -3.993
1.700 -2.331 -1.593
-2.912 -3.749 2.379
In H Ge Pd
2 1 1 1
Direct
0.500 0.000 0.000
0.000 0.000 0.500
0.000 0.000 0.000
0.500 0.500 0.500
0.000 0.500 0.000
```

## Properties
VASP energy ... -18.09 eV/f.u.
Mass density ... 7.3 g/cm3
N(E_F) ... 0.4397 states/eV/atom


9.
This record from Alexandria describes a relaxed structure of InReGeH2. The functional is PBE.

Structure (POSCAR):
```
InReGeH2
1.0
-3.790 -0.217 -0.096
0.267 -2.888 -3.988
0.119 -3.070 2.232
In H Ge Re
1 2 1 1
Direct
0.500 0.500 0.500
0.500 0.000 0.000
0.000 0.000 0.500
0.000 0.500 0.000
0.000 0.000 0.000
```

## Properties
VASP energy ... -23.50 eV/f.u.
Mass density ... 8.8 g/cm3
N(E_F) ... 0.6165 states/eV/atom


10.
This record from Alexandria describes a relaxed structure of In2GeHRh. The functional is PBE.

Structure (POSCAR):
```
In2GeHRh
1.0
5.281 0.000 0.000
0.000 3.398 0.000
0.000 0.000 5.281
Ge H In Rh
1 1 2 1
Direct
0.500 0.500 0.500
0.000 0.500 0.000
0.000 0.000 0.500
0.500 0.000 0.000
0.000 0.000 0.000
```

## Properties
VASP energy ... -20.03 eV/f.u.
Mass density ... 7.1 g/cm3
N(E_F) ... 0.6195 states/eV/atom


11.
This record from Alexandria describes a relaxed structure of InGeH2S4. The functional is PBE.

Structure (POSCAR):
```
InGeH2S4
1.0
7.103 -1.449 -0.098
-1.454 7.102 -0.098
-2.848 -2.850 6.063
In H S Ge
2 4 8 2
Direct
0.000 0.500 0.000
0.000 0.500 0.500
0.500 0.000 0.000
0.500 0.500 0.000
0.500 0.000 0.500
0.000 0.000 0.500
0.688 0.256 0.557
0.310 0.354 0.059
0.756 0.188 0.057
0.312 0.744 0.443
0.854 0.810 0.559
0.146 0.190 0.441
0.244 0.812 0.943
0.690 0.646 0.941
0.500 0.500 0.500
0.000 0.000 0.000
```

## Properties
VASP energy ... -30.87 eV/f.u.
Mass density ... 3.7 g/cm3
N(E_F) ... 0.2035 states/eV/atom


12.
This record from Alexandria describes a relaxed structure of InGeSbH2. The functional is PBE.

Structure (POSCAR):
```
InGeSbH2
1.0
3.908 0.000 0.000
0.000 6.124 0.000
0.000 0.000 3.908
Ge H Sb In
1 2 1 1
Direct
0.000 0.500 0.000
0.000 0.000 0.500
0.500 0.000 0.000
0.500 0.500 0.500
0.000 0.000 0.000
```

## Properties
VASP energy ... -16.38 eV/f.u.
Mass density ... 5.5 g/cm3
N(E_F) ... 0.4224 states/eV/atom